Record 1
A relaxed structure of NaHo2In, computed with PBE-GGA.

abc: 5.0857 5.0857 4.2721
angles: 90.00 90.00 90.00
Space group P4/mmm (No. 123)
Inequivalent atoms, fractional coordinates:
Na: 0.0000 0.0000 0.0000 (multiplicity 1)
Ho: 0.0000 0.5000 0.5000 (multiplicity 2)
In: 0.5000 0.5000 0.0000 (multiplicity 1)

Computed properties:
Final energy = -3.38 eV/atom
Energy of formation = -0.08 eV per atom
Total moment = 0.00 μB/f.u.
D(E_F) = 2.31 states/eV/f.u.
Mass density = 7.03 Mg/m³


Record 2
A relaxed structure of CsZr3Rh, computed with PBE-GGA.

abc: 5.1714 5.1714 5.1714
angles: 90.00 90.00 90.00
Space group Pm-3m (No. 221)
Inequivalent atoms, fractional coordinates:
Cs: 0.0000 0.0000 0.0000 (multiplicity 1)
Zr: 0.0000 0.0000 0.5000 (multiplicity 3)
Rh: 0.5000 0.5000 0.5000 (multiplicity 1)

Computed properties:
Final energy = -4.58 eV/atom
Energy of formation = 2.19 eV per atom
Total moment = 0.00 μB/f.u.
D(E_F) = 6.65 states/eV/f.u.
Mass density = 6.12 Mg/m³
Energy above the most stable polymorph in this dataset = 1.628 eV/atom


Record 3
A relaxed structure of PtNO4, computed with PBE-GGA.

abc: 4.7410 4.8536 4.8076
angles: 90.00 90.84 90.00
Space group P2_1/c (No. 14)
Inequivalent atoms, fractional coordinates:
Pt: 0.0000 0.0000 0.0000 (multiplicity 2)
N: 0.5000 0.0000 0.5000 (multiplicity 2)
O: 0.1517 0.1418 0.6412 (multiplicity 4)
O: 0.3613 0.6559 0.6557 (multiplicity 4)

Computed properties:
Final energy = -4.87 eV/atom
E_form (uncorrected) = 0.8325 eV/atom
Total moment = 0.00 μB/f.u.
D(E_F) = 3.06 states/eV/f.u.
Mass density = 8.20 Mg/m³